{"formula": "SmHf2P4", "functional": "PBE", "state": "relaxed", "lattice": [[1.895, -6.242, 0.000], [1.895, 6.242, 0.000], [0.000, 0.000, 12.199]], "species": ["Sm", "Sm", "Hf", "Hf", "Hf", "Hf", "P", "P", "P", "P", "P", "P", "P", "P"], "fractional_positions": [[0.105, 0.895, 0.750], [0.895, 0.105, 0.250], [0.365, 0.635, 0.556], [0.365, 0.635, 0.944], [0.635, 0.365, 0.056], [0.635, 0.365, 0.444], [0.000, 0.000, 0.000], [0.000, 0.000, 0.500], [0.260, 0.740, 0.129], [0.260, 0.740, 0.371], [0.436, 0.564, 0.750], [0.564, 0.436, 0.250], [0.740, 0.260, 0.629], [0.740, 0.260, 0.871]], "total_energy_ev_per_atom": -7.639}

{"formula": "MgZrW2S", "functional": "PBE", "state": "relaxed", "lattice": [[4.845, 0.000, 0.000], [0.000, 4.845, 0.000], [0.000, 0.000, 5.377]], "species": ["Mg", "Zr", "W", "W", "S"], "fractional_positions": [[0.000, 0.000, 0.000], [0.000, 0.000, 0.500], [0.000, 0.500, 0.500], [0.500, 0.000, 0.500], [0.500, 0.500, 0.000]], "total_energy_ev_per_atom": -5.785}